# 1
Pr6AsP3S2 | PBE | relaxed

Cell lengths 9.3889, 9.3889, 8.3901 Å; angles 103.11, 103.11, 25.83 degrees
Element x y z (fractional)
Pr 0.0007 0.0007 0.2459
Pr 0.3316 0.3316 0.4205
Pr 0.3355 0.3355 0.9126
Pr 0.6645 0.6645 0.0874
Pr 0.6684 0.6684 0.5795
Pr 0.9993 0.9993 0.7541
As 0.5000 0.5000 0.5000
P 0.1668 0.1668 0.3319
P 0.5000 0.5000 0.0000
P 0.8332 0.8332 0.6681
S 0.1682 0.1682 0.8358
S 0.8318 0.8318 0.1642

Calculated values
Density of states at the Fermi level = 3.71 states/eV/cell
Magnetization = 0.0 μB per formula unit
Formation energy without anion corrections = -1.73 eV per atom


# 2
Pr4As2PS | PBE | relaxed

Cell lengths 7.3270, 4.2393, 7.3366 Å; angles 90.00, 109.43, 90.00 degrees
Element x y z (fractional)
Pr 0.2450 0.0000 0.2459
Pr 0.2473 0.5000 0.7522
Pr 0.7527 0.5000 0.2478
Pr 0.7550 0.0000 0.7541
As 0.5000 0.0000 0.0000
As 0.5000 0.5000 0.5000
P 0.0000 0.5000 0.0000
S 0.0000 0.0000 0.5000

Calculated values
Density of states at the Fermi level = 1.38 states/eV/cell
Magnetization = 0.0 μB per formula unit
Formation energy without anion corrections = -1.67 eV per atom


# 3
Pr6As3P2S | PBE | relaxed

Cell lengths 9.4803, 9.4803, 8.4906 Å; angles 102.85, 102.85, 25.87 degrees
Element x y z (fractional)
Pr 0.0015 0.0015 0.2513
Pr 0.3316 0.3316 0.4204
Pr 0.3333 0.3333 0.9118
Pr 0.6667 0.6667 0.0882
Pr 0.6684 0.6684 0.5796
Pr 0.9985 0.9985 0.7487
As 0.1659 0.1659 0.8341
As 0.5000 0.5000 0.5000
As 0.8341 0.8341 0.1659
P 0.1659 0.1659 0.3318
P 0.8341 0.8341 0.6682
S 0.5000 0.5000 0.0000

Calculated values
Density of states at the Fermi level = 1.96 states/eV/cell
Magnetization = 0.0 μB per formula unit
Formation energy without anion corrections = -1.62 eV per atom


# 4
Pr6AsP2S3 | PBE | relaxed

Cell lengths 9.3504, 9.3504, 8.3534 Å; angles 102.95, 102.95, 25.84 degrees
Element x y z (fractional)
Pr 0.0021 0.0021 0.2532
Pr 0.3313 0.3313 0.4208
Pr 0.3320 0.3320 0.9097
Pr 0.6680 0.6680 0.0903
Pr 0.6687 0.6687 0.5792
Pr 0.9979 0.9979 0.7468
As 0.5000 0.5000 0.0000
P 0.1668 0.1668 0.3336
P 0.8332 0.8332 0.6664
S 0.1659 0.1659 0.8333
S 0.5000 0.5000 0.5000
S 0.8341 0.8341 0.1667

Calculated values
Density of states at the Fermi level = 4.23 states/eV/cell
Magnetization = 0.0 μB per formula unit
Formation energy without anion corrections = -1.82 eV per atom


# 5
Pr8AsP4S3 | PBE | relaxed

Cell lengths 8.3810, 8.3810, 8.3810 Å; angles 59.90, 59.90, 59.90 degrees
Element x y z (fractional)
Pr 0.2474 0.2474 0.2474
Pr 0.2483 0.7475 0.7475
Pr 0.2525 0.2525 0.7517
Pr 0.2525 0.7517 0.2525
Pr 0.7475 0.2483 0.7475
Pr 0.7475 0.7475 0.2483
Pr 0.7517 0.2525 0.2525
Pr 0.7526 0.7526 0.7526
As 0.0000 0.0000 0.0000
P 0.0000 0.0000 0.5000
P 0.0000 0.5000 0.0000
P 0.5000 0.0000 0.0000
P 0.5000 0.5000 0.5000
S 0.0000 0.5000 0.5000
S 0.5000 0.0000 0.5000
S 0.5000 0.5000 0.0000

Calculated values
Density of states at the Fermi level = 4.03 states/eV/cell
Magnetization = 0.0 μB per formula unit
Formation energy without anion corrections = -1.76 eV per atom


# 6
Pr4AsPS2 | PBE | relaxed

Cell lengths 7.2418, 4.1935, 7.2665 Å; angles 90.00, 109.60, 90.00 degrees
Element x y z (fractional)
Pr 0.2454 0.0000 0.2439
Pr 0.2487 0.5000 0.7542
Pr 0.7513 0.5000 0.2458
Pr 0.7546 0.0000 0.7561
As 0.0000 0.0000 0.5000
P 0.0000 0.5000 0.0000
S 0.5000 0.0000 0.0000
S 0.5000 0.5000 0.5000

Calculated values
Density of states at the Fermi level = 3.80 states/eV/cell
Magnetization = 0.0 μB per formula unit
Formation energy without anion corrections = -1.81 eV per atom


# 7
Pr6As2P3S | PBE | relaxed

Cell lengths 9.4474, 9.4474, 8.4612 Å; angles 103.00, 103.00, 25.84 degrees
Element x y z (fractional)
Pr 0.0019 0.0019 0.2459
Pr 0.3325 0.3325 0.4211
Pr 0.3347 0.3347 0.9134
Pr 0.6653 0.6653 0.0866
Pr 0.6675 0.6675 0.5789
Pr 0.9981 0.9981 0.7541
As 0.1656 0.1656 0.8312
As 0.8344 0.8344 0.1688
P 0.1663 0.1663 0.3341
P 0.5000 0.5000 0.0000
P 0.8337 0.8337 0.6659
S 0.5000 0.5000 0.5000

Calculated values
Density of states at the Fermi level = 1.95 states/eV/cell
Magnetization = 0.0 μB per formula unit
Formation energy without anion corrections = -1.63 eV per atom


# 8
Pr8As4P3S | PBE | relaxed

Cell lengths 8.4938, 8.4938, 8.4938 Å; angles 60.00, 60.00, 60.00 degrees
Element x y z (fractional)
Pr 0.2456 0.7498 0.7498
Pr 0.2479 0.2479 0.2479
Pr 0.2502 0.2502 0.7544
Pr 0.2502 0.7544 0.2502
Pr 0.7498 0.2456 0.7498
Pr 0.7498 0.7498 0.2456
Pr 0.7521 0.7521 0.7521
Pr 0.7544 0.2502 0.2502
As 0.0000 0.0000 0.0000
As 0.0000 0.5000 0.5000
As 0.5000 0.0000 0.5000
As 0.5000 0.5000 0.0000
P 0.0000 0.0000 0.5000
P 0.0000 0.5000 0.0000
P 0.5000 0.0000 0.0000
S 0.5000 0.5000 0.5000

Calculated values
Density of states at the Fermi level = 3.78 states/eV/cell
Magnetization = 0.0 μB per formula unit
Formation energy without anion corrections = -1.60 eV per atom